TbTlCdS3: optimized geometry, PBE.

Properties
- theoretical density (g cm⁻³) = 6.033
- ΔE to the lowest computed polymorph (eV/f.u.) = 0.01
- volume (Å³/f.u.) = 157.4
- crystal system = orthorhombic
- total magnetization (Bohr magnetons per cell) = 0.007

Cell: 10.805 4.120 14.144 Å, 90.00 90.00 90.00°
Element x y z (fractional)
Tb  0.007  0.250  0.245
Tb  0.493  0.750  0.745
Tb  0.507  0.250  0.255
Tb  0.993  0.750  0.755
Tl  0.235  0.750  0.486
Tl  0.265  0.250  0.986
Tl  0.735  0.750  0.014
Tl  0.765  0.250  0.514
Cd  0.243  0.250  0.700
Cd  0.257  0.750  0.200
Cd  0.743  0.250  0.800
Cd  0.757  0.750  0.300
S  0.036  0.250  0.625
S  0.054  0.750  0.118
S  0.244  0.750  0.813
S  0.256  0.250  0.313
S  0.446  0.250  0.618
S  0.464  0.750  0.125
S  0.536  0.250  0.875
S  0.554  0.750  0.382
S  0.744  0.750  0.687
S  0.756  0.250  0.187
S  0.946  0.250  0.882
S  0.964  0.750  0.375